AlWSe2 | PBE | relaxed

CIF file:
```
data_AlWSe2
_symmetry_space_group_name_H-M 'C 1 2/m 1'
_symmetry_Int_Tables_number 12
_cell_length_a 8.4146
_cell_length_b 3.2655
_cell_length_c 5.2602
_cell_angle_alpha 90.00
_cell_angle_beta 96.39
_cell_angle_gamma 90.00
loop_
_symmetry_equiv_pos_as_xyz
'x,y,z'
'-x,-y,-z'
'-x,y,-z'
'x,-y,z'
'x+1/2,y+1/2,z'
'-x+1/2,-y+1/2,-z'
'-x+1/2,y+1/2,-z'
'x+1/2,-y+1/2,z'
loop_
_atom_site_label
_atom_site_type_symbol
_atom_site_fract_x
_atom_site_fract_y
_atom_site_fract_z
Al1 Al 0.0000 0.0000 0.0000
W1 W 0.0000 0.5000 0.5000
Se1 Se 0.2181 0.0000 0.7259
```

Results
**Formation energy without anion corrections**: 0.18 eV per atom
**Theoretical density**: 8.53 g cm⁻³
**V**: 144 Å³/cell

***

AlW2Se2 | PBE | relaxed

CIF file:
```
data_AlW2Se2
_symmetry_space_group_name_H-M 'P 4/m b m'
_symmetry_Int_Tables_number 127
_symmetry_space_group_name_Hall '-P 4 2ab'
_cell_length_a 7.6018
_cell_length_b 7.6018
_cell_length_c 2.9337
_cell_angle_alpha 90.00
_cell_angle_beta 90.00
_cell_angle_gamma 90.00
loop_
_atom_site_label
_atom_site_type_symbol
_atom_site_fract_x
_atom_site_fract_y
_atom_site_fract_z
Al1 Al 0.0000 0.0000 0.0000
W1 W 0.1708 0.3292 0.5000
Se1 Se 0.1328 0.6328 0.0000
```

Results
**Formation energy without anion corrections**: 0.64 eV per atom
**Theoretical density**: 10.82 g cm⁻³
**ΔE to the lowest computed polymorph**: 0.2105 eV/atom
**V**: 170 Å³/cell

***

Al2WSe | PBE | relaxed

CIF file:
```
data_Al2WSe
_symmetry_space_group_name_H-M 'I m m m'
_symmetry_Int_Tables_number 71
_symmetry_space_group_name_Hall '-I 2 2'
_cell_length_a 3.2535
_cell_length_b 4.5522
_cell_length_c 8.6682
_cell_angle_alpha 90.00
_cell_angle_beta 90.00
_cell_angle_gamma 90.00
loop_
_atom_site_label
_atom_site_type_symbol
_atom_site_fract_x
_atom_site_fract_y
_atom_site_fract_z
Al1 Al 0.0000 0.0000 0.2462
W1 W 0.0000 0.5000 0.0000
Se1 Se 0.0000 0.5000 0.5000
```

Results
**Formation energy without anion corrections**: 0.23 eV per atom
**Theoretical density**: 8.19 g cm⁻³
**V**: 128 Å³/cell